## CsAs3P (GGA-PBE)

Data for crystalline CsAs3P at its relaxed geometry.

Cell and atoms, written as extended XYZ:
```
5
Lattice="5.891 0.000 0.000 0.000 5.891 0.000 0.000 0.000 5.891" Properties=species:S:1:pos:R:3 pbc="T T T"
Cs 0.000 0.000 0.000
As 0.000 0.000 2.946
As 0.000 2.946 0.000
As 2.946 0.000 0.000
P 2.946 2.946 2.946
```

Properties
* uncorrected energy: -1.84 eV/atom
* space-group type: Pm-3m
* ΔE to the lowest computed polymorph: 2.3757 eV per atom
* energy of formation from the pure elements: 2.2067 eV per atom